1.
VASP calculation (PBE) on MnCoAsRh after structural relaxation.

POSCAR file:
```
MnCoAsRh
1.0
6.006 0.000 0.000
0.000 6.006 0.000
0.000 0.000 6.006
Mn Co As Rh
4 4 4 4
direct
0.000 0.000 0.000
0.000 0.500 0.500
0.500 0.000 0.500
0.500 0.500 0.000
0.250 0.250 0.250
0.250 0.750 0.750
0.750 0.250 0.750
0.750 0.750 0.250
0.000 0.000 0.500
0.000 0.500 0.000
0.500 0.000 0.000
0.500 0.500 0.500
0.250 0.250 0.750
0.250 0.750 0.250
0.750 0.250 0.250
0.750 0.750 0.750
```

Values from the calculation:
Energy of formation, meV per atom: -153
Space group: No. 216
Raw total energy, eV/cell: -115.547
Total magnetic moment, μB/cell: 23.64



2.
VASP calculation (PBE) on BaLiFe3 after structural relaxation.

POSCAR file:
```
BaLiFe3
1.0
4.659 0.000 0.000
0.000 4.659 0.000
0.000 0.000 4.659
Ba Li Fe
1 1 3
direct
0.000 0.000 0.000
0.500 0.500 0.500
0.000 0.500 0.500
0.500 0.000 0.500
0.500 0.500 0.000
```

Values from the calculation:
Energy of formation, meV per atom: 1085
Space group: No. 221
Raw total energy, eV/cell: -23.801
Total magnetic moment, μB/cell: 8.66



3.
VASP calculation (PBE) on Dy8C4O after structural relaxation.

POSCAR file:
```
Dy8C4O
1.0
0.000 5.135 5.135
5.135 0.000 5.135
5.135 5.135 0.000
Dy C O
8 4 1
direct
0.108 0.631 0.631
0.115 0.115 0.115
0.115 0.115 0.655
0.115 0.655 0.115
0.631 0.108 0.631
0.631 0.631 0.108
0.631 0.631 0.631
0.655 0.115 0.115
0.371 0.876 0.876
0.876 0.371 0.876
0.876 0.876 0.371
0.876 0.876 0.876
0.500 0.500 0.500
```

Values from the calculation:
Space group: No. 216
Raw total energy, eV/cell: -87.284
Formation energy (no corrections), meV/atom: -663
Total magnetic moment, μB/cell: 1.00



4.
VASP calculation (PBE) on CaZrRh2 after structural relaxation.

POSCAR file:
```
CaZrRh2
1.0
6.672 0.000 0.000
0.000 6.672 0.000
0.000 0.000 6.672
Ca Zr Rh
4 4 8
direct
0.000 0.000 0.000
0.000 0.500 0.500
0.500 0.000 0.500
0.500 0.500 0.000
0.000 0.000 0.500
0.000 0.500 0.000
0.500 0.000 0.000
0.500 0.500 0.500
0.250 0.250 0.250
0.250 0.250 0.750
0.250 0.750 0.250
0.250 0.750 0.750
0.750 0.250 0.250
0.750 0.250 0.750
0.750 0.750 0.250
0.750 0.750 0.750
```

Values from the calculation:
Energy of formation, meV per atom: -573
Space group: No. 225
Raw total energy, eV/cell: -110.173
Total magnetic moment, μB/cell: 0.00



5.
VASP calculation (PBE) on Hf6InRh after structural relaxation.

POSCAR file:
```
Hf6InRh
1.0
4.850 2.800 2.214
-4.850 2.800 2.214
0.000 -5.601 2.214
Hf In Rh
6 1 1
direct
0.230 0.230 0.680
0.230 0.680 0.230
0.320 0.770 0.770
0.680 0.230 0.230
0.770 0.320 0.770
0.770 0.770 0.320
0.000 0.000 0.000
0.500 0.500 0.500
```

Values from the calculation:
Energy of formation, meV per atom: 68
Space group: No. 166
Raw total energy, eV/cell: -69.266
Total magnetic moment, μB/cell: 0.00



6.
VASP calculation (PBE) on Na5Ga2Bi4 after structural relaxation.

POSCAR file:
```
Na5Ga2Bi4
1.0
9.394 -2.559 0.000
9.394 2.559 0.000
-1.455 0.000 7.634
Na Ga Bi
5 2 4
direct
0.000 0.000 0.000
0.324 0.324 0.516
0.341 0.341 0.034
0.659 0.659 0.966
0.676 0.676 0.484
0.047 0.047 0.644
0.953 0.953 0.356
0.193 0.193 0.738
0.481 0.481 0.780
0.519 0.519 0.220
0.807 0.807 0.262
```

Values from the calculation:
Energy of formation, meV per atom: -128
Space group: No. 12
Raw total energy, eV/cell: -29.579
Total magnetic moment, μB/cell: 0.00



7.
VASP calculation (PBE) on HfSbF3 after structural relaxation.

POSCAR file:
```
HfSbF3
1.0
4.347 0.000 0.000
0.000 4.347 0.000
0.000 0.000 4.347
Hf Sb F
1 1 3
direct
0.000 0.000 0.000
0.500 0.500 0.500
0.000 0.000 0.500
0.000 0.500 0.000
0.500 0.000 0.000
```

Values from the calculation:
Space group: No. 221
Raw total energy, eV/cell: -29.393
Formation energy (no corrections), meV/atom: -1941
Total magnetic moment, μB/cell: 2.22



8.
VASP calculation (PBE) on NiP3Cl after structural relaxation.

POSCAR file:
```
NiP3Cl
1.0
4.494 0.000 0.000
0.000 4.494 0.000
0.000 0.000 4.494
Ni P Cl
1 3 1
direct
0.000 0.000 0.000
0.000 0.500 0.500
0.500 0.000 0.500
0.500 0.500 0.000
0.500 0.500 0.500
```

Values from the calculation:
Space group: No. 221
Raw total energy, eV/cell: -15.724
Formation energy (no corrections), meV/atom: 1627
Total magnetic moment, μB/cell: 1.05